Compound: Zr2BeTc
Source: Alexandria via LeMat-Bulk
Functional: meta-GGA SCAN
Structure: PBEsol geometry

Results
formation energy from the elements: -294 meV per atom

a b c (Å): 3.2879 4.4794 4.4794
angles (deg): 90.00 90.00 90.00
With the nearest neighbours (Å) after each atom.
Fractional coordinates of all 4 atoms:
Be (0.5000, 0.5000, 0.5000)  8 Zr 2.78
Tc (0.5000, 0.0000, 0.0000)  8 Zr 2.78
Zr (0.0000, 0.0000, 0.5000)  4 Tc 2.78, 4 Be 2.78
Zr (0.0000, 0.5000, 0.0000)  4 Tc 2.78, 4 Be 2.78

Compound: ScTaTl
Source: Alexandria via LeMat-Bulk
Functional: meta-GGA SCAN
Structure: PBEsol geometry

Results
formation energy from the elements: 132 meV per atom

a b c (Å): 3.1537 3.1537 7.2702
angles (deg): 90.00 90.00 120.00
With the nearest neighbours (Å) after each atom.
Fractional coordinates of all 3 atoms:
Sc (0.0000, 0.0000, 0.9888)  3 Ta 2.93, 3 Tl 3.12, 6 Sc 3.15
Tl (0.3333, 0.6667, 0.3376)  3 Ta 3.05, 3 Sc 3.12, 6 Tl 3.15
Ta (0.6667, 0.3333, 0.6737)  3 Sc 2.93, 3 Tl 3.05, 6 Ta 3.15

Compound: Ta2CrRe
Source: Alexandria via LeMat-Bulk
Functional: meta-GGA SCAN
Structure: PBEsol geometry

Results
formation energy from the elements: -235 meV per atom

a b c (Å): 3.1174 4.3989 5.1991
angles (deg): 115.03 107.45 90.00
With the nearest neighbours (Å) after each atom.
Fractional coordinates of all 4 atoms:
Ta (0.7570, 0.2570, 0.5140)  2 Cr 2.69, 4 Re 2.70, 2 Ta 2.80
Re (0.2437, 0.7437, 0.4874)  2 Cr 2.64, 6 Ta 2.70-2.73
Cr (0.5040, 0.5040, 0.0080)  2 Re 2.64, 6 Ta 2.69-2.70
Ta (0.9953, 0.9953, 0.9906)  4 Cr 2.70, 2 Re 2.73, 2 Ta 2.80

Repeat the first record exactly.
Compound: Zr2BeTc
Source: Alexandria via LeMat-Bulk
Functional: meta-GGA SCAN
Structure: PBEsol geometry

Results
formation energy from the elements: -294 meV per atom

a b c (Å): 3.2879 4.4794 4.4794
angles (deg): 90.00 90.00 90.00
With the nearest neighbours (Å) after each atom.
Fractional coordinates of all 4 atoms:
Be (0.5000, 0.5000, 0.5000)  8 Zr 2.78
Tc (0.5000, 0.0000, 0.0000)  8 Zr 2.78
Zr (0.0000, 0.0000, 0.5000)  4 Tc 2.78, 4 Be 2.78
Zr (0.0000, 0.5000, 0.0000)  4 Tc 2.78, 4 Be 2.78